This record from Alexandria via LeMat-Bulk describes a geometry-optimized CrSnO2 structure. The functional is PBE+U.

Values from the calculation:
**E_tot**: -6.322 eV per atom
**E above lowest polymorph**: 549 meV per atom

Cell lengths 5.4760, 5.4760, 5.4760 Å; angles 39.95, 39.95, 39.95 degrees
With the nearest neighbours (Å) after each atom.
Element x y z (fractional)
Cr 0.0000 0.0000 0.0000  3 O 2.22
Sn 0.4906 0.4906 0.4906  4 O 2.13-2.16
O 0.1664 0.1664 0.1664  3 Sn 2.16
O 0.6315 0.6315 0.6315  1 Sn 2.13, 3 Cr 2.22